Compound: Dy2ErHg
Source: Alexandria
Functional: PBE-GGA
Structure: optimized geometry

It has space group Cmcm (No. 63), with a = 4.5521 Å, b = 11.9980 Å, c = 8.6244 Å, α = 90.00°, β = 90.00° and γ = 90.00°. The inequivalent atoms are Dy at (0.0000, 0.1378, 0.0485), Er at (0.0000, 0.4466, 0.2500) and Hg at (0.0000, 0.2647, 0.7500).

As for the magnetic moment: 0.0 μB/f.u. Its energy relative to the lowest polymorph listed for this composition is 0.077 eV per atom. The calculation puts the energy of formation at -145 meV/atom.